Entry 1:
K2NaAcI6: relaxed, GGA-PBE.

Lattice parameters (Å, degrees): 8.4302 9.0048 12.1515 90.00 87.83 90.00
Element x y z (fractional)
Ac: 0.5000 0.0000 0.5000
Ac: 0.0000 0.5000 0.0000
Na: 0.0000 0.5000 0.5000
Na: 0.5000 0.0000 0.0000
I: 0.3152 0.6952 0.4319
I: 0.8122 0.8072 0.5637
I: 0.8152 0.8048 0.9319
I: 0.6848 0.3048 0.5681
I: 0.3122 0.6928 0.0637
I: 0.1354 0.4567 0.7466
I: 0.1878 0.1928 0.4363
I: 0.8646 0.5433 0.2534
I: 0.3646 0.9567 0.7534
I: 0.6878 0.3072 0.9363
I: 0.6354 0.0433 0.2466
I: 0.1848 0.1952 0.0681
K: 0.4642 0.4093 0.2405
K: 0.0358 0.9093 0.2595
K: 0.5358 0.5907 0.7595
K: 0.9642 0.0907 0.7405

Output
N(E_F) (states/eV/atom): 0.00
Formation energy from raw total energies (eV per formula unit): -14.6
SG: P2_1/c
Total energy (eV/atom): -3.1563

---

Entry 2:
KAcI2O: relaxed, GGA-PBE.

Lattice parameters (Å, degrees): 4.5484 4.5484 16.8069 90.00 90.00 90.00
Element x y z (fractional)
I: 0.0000 0.5000 0.6745
I: 0.5000 0.0000 0.8745
I: 0.5000 0.0000 0.3255
I: 0.0000 0.5000 0.1255
K: 0.5000 0.0000 0.0931
K: 0.0000 0.5000 0.9069
O: 0.0000 0.0000 0.5000
O: 0.5000 0.5000 0.5000
Ac: 0.0000 0.5000 0.4329
Ac: 0.5000 0.0000 0.5671

Output
N(E_F) (states/eV/atom): 0.00
Formation energy from raw total energies (eV per formula unit): -10.9
SG: P4/nmm
Total energy (eV/atom): -4.8249

---

Entry 3:
KAc2IO8: relaxed, GGA-PBE.

Lattice parameters (Å, degrees): 5.4816 4.5508 7.6349 74.72 90.00 90.00
Element x y z (fractional)
O: 0.7397 0.1808 0.1027
O: 0.0000 0.3190 0.7809
O: 0.5000 0.1635 0.5015
O: 0.2603 0.8192 0.8973
O: 0.7397 0.8192 0.8973
O: 0.0000 0.6810 0.2191
O: 0.2603 0.1808 0.1027
O: 0.5000 0.8365 0.4985
Ac: 0.5000 0.6210 0.2144
Ac: 0.5000 0.3790 0.7856
K: 0.0000 0.0000 0.5000
I: 0.0000 0.0000 0.0000

Output
N(E_F) (states/eV/atom): 0.00
Formation energy from raw total energies (eV per formula unit): -21.7
SG: P2/m
Total energy (eV/atom): -6.0228

---

Entry 4:
KAcI2O8: relaxed, GGA-PBE.

Lattice parameters (Å, degrees): 6.7120 6.7120 6.7120 106.83 106.83 114.90
Each line ends with the local moment (μB).
Element x y z (fractional)
O: 0.3282 0.5017 0.1735  0.11
O: 0.9099 0.6002 0.6904  -0.11
O: 0.4983 0.6718 0.8265  0.11
O: 0.7805 0.0901 0.6904  -0.11
O: 0.8453 0.6718 0.1735  0.11
O: 0.3282 0.1547 0.8265  0.11
O: 0.9099 0.2195 0.3096  -0.11
O: 0.3998 0.0901 0.3096  -0.11
Ac: 0.0000 0.0000 0.0000  -0.03
K: 0.2500 0.7500 0.5000  0.01
I: 0.5000 0.5000 0.0000  0.06
I: 0.7500 0.2500 0.5000  -0.05

Output
N(E_F) (states/eV/atom): 0.28
Formation energy from raw total energies (eV per formula unit): -12.7
SG: I-4m2
Total energy (eV/atom): -5.0521

---

Entry 5:
KAc2IO6: relaxed, GGA-PBE.

Lattice parameters (Å, degrees): 6.5168 6.5168 6.5168 58.38 58.38 58.38
Element x y z (fractional)
O: 0.3306 0.0814 0.8429
O: 0.8429 0.3306 0.0814
O: 0.9160 0.2876 0.6280
O: 0.2876 0.6280 0.9160
O: 0.6280 0.9160 0.2876
O: 0.0814 0.8429 0.3306
K: 0.4799 0.4799 0.4799
I: 0.0100 0.0100 0.0100
Ac: 0.2237 0.2237 0.2237
Ac: 0.7005 0.7005 0.7005

Output
N(E_F) (states/eV/atom): 0.00
Formation energy from raw total energies (eV per formula unit): -20.6
SG: R3
Total energy (eV/atom): -6.1189

---

Entry 6:
KAcIO6: relaxed, GGA-PBE.

Lattice parameters (Å, degrees): 6.2711 6.2711 8.9157 90.00 90.00 120.00
Each line ends with the local moment (μB).
Element x y z (fractional)
O: 0.4190 0.0780 0.1313  0.15
O: 0.9220 0.5810 0.3687  0.15
O: 0.6590 0.0780 0.3687  0.15
O: 0.5810 0.9220 0.8687  0.15
O: 0.9220 0.3410 0.1313  0.15
O: 0.3410 0.4190 0.8687  0.15
O: 0.5810 0.6590 0.6313  0.15
O: 0.0780 0.6590 0.8687  0.15
O: 0.4190 0.3410 0.3687  0.15
O: 0.6590 0.5810 0.1313  0.15
O: 0.3410 0.9220 0.6313  0.15
O: 0.0780 0.4190 0.6313  0.15
Ac: 0.6667 0.3333 0.7500  0.00
Ac: 0.3333 0.6667 0.2500  0.00
K: 0.0000 0.0000 0.0000  0.00
K: 0.0000 0.0000 0.5000  0.00
I: 0.6667 0.3333 0.2500  -0.02
I: 0.3333 0.6667 0.7500  -0.02

Output
N(E_F) (states/eV/atom): 0.55
Formation energy from raw total energies (eV per formula unit): -12.2
SG: P-31c
Total energy (eV/atom): -5.4151

---

Entry 7:
KAcIO2: relaxed, GGA-PBE.

Lattice parameters (Å, degrees): 4.3167 4.3167 8.1073 105.44 105.44 90.00
Each line ends with the local moment (μB).
Element x y z (fractional)
O: 0.2362 0.7362 0.4724  0.40
O: 0.7362 0.2362 0.4724  0.40
Ac: 0.1651 0.1651 0.3302  -0.01
K: 0.8487 0.8487 0.6974  0.00
I: 0.5138 0.5138 0.0275  0.03

Output
N(E_F) (states/eV/atom): 0.64
Formation energy from raw total energies (eV per formula unit): -9.8
SG: I4mm
Total energy (eV/atom): -5.2937

---

Entry 8:
KAcPb2I8: relaxed, GGA-PBE.

Lattice parameters (Å, degrees): 7.9577 7.5274 9.8906 89.98 89.99 89.40
Element x y z (fractional)
I: 0.1602 0.7463 0.7646
I: 0.6384 0.7322 0.4999
I: 0.6611 0.7470 0.9999
I: 0.8398 0.2537 0.2354
I: 0.3616 0.2678 0.5001
I: 0.8398 0.2539 0.7646
I: 0.3389 0.2530 0.0001
I: 0.1602 0.7461 0.2354
Ac: 0.0000 0.0000 0.0000
K: 0.0000 0.0000 0.5000
Pb: 0.5002 0.4999 0.7430
Pb: 0.4998 0.5001 0.2570

Output
N(E_F) (states/eV/atom): 0.00
Formation energy from raw total energies (eV per formula unit): -12.6
SG: P2/m
Total energy (eV/atom): -3.1369

---

Across the entries above, calculated volume takes the values 921.8, 347.7, 183.7, 231.2, 188.4, 303.7, 140.0, 592.4 Å³ per cell, respectively.